DFT (PBE) results for an optimized crystal structure of YMg5Cu2.

Computed properties:
* energy relative to the elements: -93 meV per atom
* N(E_F): 4.89 states/eV/f.u.
* E_tot: -23.4 eV per formula unit

POSCAR file:
```
YMg5Cu2
1.0
4.006 0.000 1.332
1.636 6.249 1.768
-0.002 -0.006 6.698
Mg Cu Y
5 2 1
Direct
0.340 0.846 0.474
0.660 0.154 0.526
0.660 0.526 0.154
0.340 0.474 0.846
0.000 0.500 0.500
0.727 0.773 0.773
0.273 0.227 0.227
0.000 0.000 0.000
```